# 1
A geometry-optimized Zr2NO structure. Source: Alexandria, functional PBE-GGA.

Results
* energy relative to the lowest polymorph listed for this composition: 60 meV per atom
* formation energy (no corrections): -1957 meV per atom
* M_tot: 0.00 μB per formula unit

a b c (Å): 3.178 3.178 6.025
angles (deg): 74.71 74.71 60.00
Positions (direct):
1 O 0.499 0.499 0.502
2 Zr 0.077 0.077 0.768
3 N 0.666 0.666 0.001
4 Zr 0.257 0.257 0.228


# 2
A geometry-optimized Tm5Ag2 structure. Source: Alexandria, functional PBE-GGA.

Results
* energy relative to the lowest polymorph listed for this composition: 0 meV per atom
* M_tot: 0.00 μB per formula unit
* DFT formation energy: -0.139 eV/atom

a b c (Å): 7.093 6.717 8.586
angles (deg): 90.04 114.40 90.00
Positions (direct):
1 Tm 0.051 0.001 0.810
2 Ag 0.363 0.000 0.227
3 Tm 0.724 0.750 0.450
4 Ag 0.864 0.500 0.227
5 Tm 0.275 0.750 0.550
6 Tm 0.240 0.499 0.190
7 Tm 0.499 0.750 0.000
8 Tm 0.949 0.999 0.190
9 Tm 0.501 0.250 0.000
10 Tm 0.276 0.250 0.550
11 Tm 0.725 0.250 0.450
12 Ag 0.637 0.000 0.773
13 Tm 0.760 0.501 0.810
14 Ag 0.136 0.500 0.773


# 3
A geometry-optimized Sc5Te2 structure. Source: Alexandria, functional PBE-GGA.

Results
* energy relative to the lowest polymorph listed for this composition: 82 meV per atom
* formation energy (no corrections): -584 meV per atom
* M_tot: 0.00 μB per formula unit

a b c (Å): 5.907 7.646 7.975
angles (deg): 94.32 111.74 90.00
Positions (direct):
1 Sc 0.377 0.193 0.544
2 Te 0.771 0.584 0.205
3 Te 0.434 0.084 0.205
4 Sc 0.677 0.250 0.000
5 Sc 0.323 0.750 0.000
6 Sc 0.623 0.807 0.456
7 Sc 0.968 0.938 0.198
8 Sc 0.833 0.307 0.456
9 Sc 0.230 0.438 0.198
10 Te 0.566 0.916 0.795
11 Sc 0.032 0.062 0.802
12 Sc 0.770 0.562 0.802
13 Sc 0.167 0.693 0.544
14 Te 0.229 0.416 0.795


# 4
A geometry-optimized RbLi3Mg structure. Source: Alexandria, functional PBE-GGA.

Results
* energy relative to the lowest polymorph listed for this composition: 520 meV per atom
* M_tot: 0.00 μB per formula unit
* DFT formation energy: 0.780 eV/atom

a b c (Å): 5.538 5.538 5.538
angles (deg): 90.00 90.00 90.00
Positions (direct):
1 Rb 0.000 0.000 0.000
2 Mg 0.500 0.500 0.500
3 Li 0.500 0.000 0.000
4 Li 0.000 0.000 0.500
5 Li 0.000 0.500 0.000


# 5
A geometry-optimized TlPtSN2 structure. Source: Alexandria, functional PBE-GGA.

Results
* energy relative to the lowest polymorph listed for this composition: 0 meV per atom
* formation energy (no corrections): 993 meV per atom
* M_tot: 0.00 μB per formula unit

a b c (Å): 3.792 3.792 8.206
angles (deg): 90.00 90.00 90.00
Positions (direct):
1 N 0.500 0.000 0.000
2 N 0.000 0.500 0.000
3 Tl 0.500 0.500 0.500
4 S 0.000 0.000 0.500
5 Pt 0.000 0.000 0.000


# 6
A geometry-optimized La2Pm2Ag3 structure. Source: Alexandria, functional PBE-GGA.

Results
* M_tot: 0.65 μB per formula unit
* DFT formation energy: -0.109 eV/atom

a b c (Å): 5.316 5.346 9.003
angles (deg): 89.91 106.78 120.04
Last column: magnetic moment on the atom in μB.
Positions (direct):
1 Ag 0.504 0.752 0.257  0.01
2 Pm 0.748 0.874 0.619  0.11
3 La 0.758 0.379 0.139  0.05
4 La 0.242 0.621 0.861  0.05
5 Ag 0.000 0.000 0.000  0.00
6 Ag 0.496 0.248 0.743  0.01
7 Pm 0.252 0.126 0.381  0.11